Material: DyLuTlIr
Method: DFT, GGA-PBE
State: relaxed

Calculated values
formation energy from the elements = -2.03 eV per formula unit

Cell: 7.137 7.137 7.137 Å, 90.00 90.00 90.00°
Space group F-43m (No. 216)
Inequivalent atoms, fractional coordinates:
Dy 0.000 0.000 0.000 [4 per cell]
Lu 0.000 0.000 0.500 [4 per cell]
Tl 0.250 0.250 0.250 [4 per cell]
Ir 0.250 0.250 0.750 [4 per cell]

Material: Pr3Nd2P4
Method: DFT, GGA-PBE
State: relaxed

Calculated values
formation energy from the elements = -12.24 eV per formula unit

Cell: 13.839 4.176 10.242 Å, 90.00 120.00 90.00°
Space group C2/m (No. 12)
Inequivalent atoms, fractional coordinates:
Pr 0.000 0.000 0.000 [2 per cell]
Pr 0.203 0.000 0.807 [4 per cell]
Nd 0.105 0.500 0.391 [4 per cell]
P 0.100 0.500 0.898 [4 per cell]
P 0.202 0.000 0.306 [4 per cell]

Material: Ga2PN
Method: DFT, GGA-PBE
State: relaxed

Calculated values
formation energy from raw total energies = -0.308 eV/atom

Cell: 5.044 5.044 9.896 Å, 90.00 90.00 90.00°
Space group I-42d (No. 122)
Inequivalent atoms, fractional coordinates:
Ga 0.192 0.250 0.125 [8 per cell]
P 0.000 0.000 0.500 [4 per cell]
N 0.000 0.000 0.000 [4 per cell]

Material: LiNiSb2
Method: DFT, GGA-PBE
State: relaxed

Calculated values
formation energy from raw total energies = -0.178 eV/atom

Cell: 3.134 3.784 13.886 Å, 90.00 90.00 90.00°
Space group Imm2 (No. 44)
Inequivalent atoms, fractional coordinates:
Li 0.000 0.000 0.000 [2 per cell]
Ni 0.000 0.500 0.730 [2 per cell]
Sb 0.000 0.000 0.380 [2 per cell]
Sb 0.000 0.500 0.158 [2 per cell]

Material: TbSi2Ni5Rh
Method: DFT, GGA-PBE
State: relaxed

Calculated values
formation energy from raw total energies = -0.283 eV/atom

Cell: 3.675 3.675 9.006 Å, 90.00 90.00 90.00°
Space group P4/mmm (No. 123)
Inequivalent atoms, fractional coordinates:
Tb 0.000 0.000 0.000 [1 per cell]
Si 0.500 0.500 0.373 [2 per cell]
Ni 0.000 0.500 0.233 [4 per cell]
Ni 0.500 0.500 0.000 [1 per cell]
Rh 0.000 0.000 0.500 [1 per cell]

Material: Ca2Cd2SbPd5
Method: DFT, GGA-PBE
State: relaxed

Calculated values
formation energy from raw total energies = -0.524 eV/atom

Cell: 10.430 10.430 3.735 Å, 90.00 90.00 90.00°
Space group P4/mbm (No. 127)
Inequivalent atoms, fractional coordinates:
Ca 0.170 0.330 0.000 [4 per cell]
Cd 0.130 0.630 0.000 [4 per cell]
Sb 0.000 0.000 0.000 [2 per cell]
Pd 0.000 0.500 0.500 [2 per cell]
Pd 0.054 0.807 0.500 [8 per cell]

Material: SrScCdHg2
Method: DFT, GGA-PBE
State: relaxed

Calculated values
formation energy from the elements = 1.77 eV per formula unit

Cell: 5.469 5.469 6.475 Å, 90.00 90.00 90.00°
Space group P4/mmm (No. 123)
Inequivalent atoms, fractional coordinates:
Sr 0.000 0.000 0.000 [1 per cell]
Sc 0.000 0.000 0.500 [1 per cell]
Cd 0.500 0.500 0.000 [1 per cell]
Hg 0.000 0.500 0.500 [2 per cell]

Material: NiAgMo2
Method: DFT, GGA-PBE
State: relaxed

Calculated values
formation energy from the elements = 2.11 eV per formula unit

Cell: 6.250 6.250 6.250 Å, 90.00 90.00 90.00°
Space group F-43m (No. 216)
Inequivalent atoms, fractional coordinates:
Ni 0.000 0.000 0.000 [4 per cell]
Ag 0.250 0.250 0.750 [4 per cell]
Mo 0.000 0.000 0.500 [4 per cell]
Mo 0.250 0.250 0.250 [4 per cell]